[1]
Compound: BeReSiPb2
Source: Alexandria via LeMat-Bulk
Functional: PBE
Structure: relaxed

## Properties
The raw total energy is -21.7 eV for the cell shown.

```
data_BeReSiPb2
_chemical_formula_sum 'Be1 Re1 Si1 Pb2'
_symmetry_space_group_name_H-M 'P 4/m m m'
_symmetry_Int_Tables_number 123
_symmetry_space_group_name_Hall '-P 4 2'
_cell_length_a 5.386
_cell_length_b 5.386
_cell_length_c 4.564
_cell_angle_alpha 90.00
_cell_angle_beta 90.00
_cell_angle_gamma 90.00
loop_
_atom_site_label
_atom_site_type_symbol
_atom_site_fract_x
_atom_site_fract_y
_atom_site_fract_z
_atom_site_occupancy
Be1 Be 0.000 0.000 0.000 1
Re1 Re 0.500 0.500 0.000 1
Si1 Si 0.500 0.500 0.500 1
Pb1 Pb 0.000 0.500 0.500 1
```

[2]
Compound: Sr2BeRePb
Source: Alexandria via LeMat-Bulk
Functional: PBE
Structure: relaxed

## Properties
The raw total energy is -16.8 eV for the cell shown.

```
data_Sr2BeRePb
_chemical_formula_sum 'Sr2 Be1 Re1 Pb1'
_symmetry_space_group_name_H-M 'P 4/m m m'
_symmetry_Int_Tables_number 123
_symmetry_space_group_name_Hall '-P 4 2'
_cell_length_a 6.327
_cell_length_b 6.327
_cell_length_c 4.440
_cell_angle_alpha 90.00
_cell_angle_beta 90.00
_cell_angle_gamma 90.00
loop_
_atom_site_label
_atom_site_type_symbol
_atom_site_fract_x
_atom_site_fract_y
_atom_site_fract_z
_atom_site_occupancy
Sr1 Sr 0.000 0.500 0.000 1
Be1 Be 0.000 0.000 0.500 1
Re1 Re 0.500 0.500 0.500 1
Pb1 Pb 0.000 0.000 0.000 1
```

[3]
Compound: Be4RhPb
Source: Alexandria via LeMat-Bulk
Functional: PBE
Structure: relaxed

## Properties
The raw total energy is -102.8 eV for the cell shown.

```
data_Be4RhPb
_chemical_formula_sum 'Be16 Rh4 Pb4'
_symmetry_space_group_name_H-M 'F -4 3 m'
_symmetry_Int_Tables_number 216
_symmetry_space_group_name_Hall 'F -4 2 3'
_cell_length_a 6.554
_cell_length_b 6.554
_cell_length_c 6.554
_cell_angle_alpha 90.00
_cell_angle_beta 90.00
_cell_angle_gamma 90.00
loop_
_atom_site_label
_atom_site_type_symbol
_atom_site_fract_x
_atom_site_fract_y
_atom_site_fract_z
_atom_site_occupancy
Be1 Be 0.122 0.122 0.378 1
Rh1 Rh 0.250 0.250 0.750 1
Pb1 Pb 0.000 0.000 0.000 1
```

[4]
Compound: BeRh3Pb
Source: Alexandria via LeMat-Bulk
Functional: PBE
Structure: relaxed

## Properties
The calculation puts the relative energy among the computed polymorphs at 1.767 eV/atom.

```
data_BeRh3Pb
_chemical_formula_sum 'Be1 Rh3 Pb1'
_symmetry_space_group_name_H-M 'P m -3 m'
_symmetry_Int_Tables_number 221
_symmetry_space_group_name_Hall '-P 4 2 3'
_cell_length_a 4.939
_cell_length_b 4.939
_cell_length_c 4.939
_cell_angle_alpha 90.00
_cell_angle_beta 90.00
_cell_angle_gamma 90.00
loop_
_atom_site_label
_atom_site_type_symbol
_atom_site_fract_x
_atom_site_fract_y
_atom_site_fract_z
_atom_site_occupancy
Be1 Be 0.000 0.000 0.000 1
Rh1 Rh 0.000 0.500 0.500 1
Pb1 Pb 0.500 0.500 0.500 1
```

[5]
Compound: BeRhPb3
Source: Alexandria via LeMat-Bulk
Functional: PBE
Structure: relaxed

## Properties
The calculation puts the relative energy among the computed polymorphs at 0.057 eV/atom.

```
data_BeRhPb3
_chemical_formula_sum 'Be1 Rh1 Pb3'
_symmetry_space_group_name_H-M 'P m -3 m'
_symmetry_Int_Tables_number 221
_symmetry_space_group_name_Hall '-P 4 2 3'
_cell_length_a 4.950
_cell_length_b 4.950
_cell_length_c 4.950
_cell_angle_alpha 90.00
_cell_angle_beta 90.00
_cell_angle_gamma 90.00
loop_
_atom_site_label
_atom_site_type_symbol
_atom_site_fract_x
_atom_site_fract_y
_atom_site_fract_z
_atom_site_occupancy
Be1 Be 0.000 0.000 0.000 1
Rh1 Rh 0.500 0.500 0.500 1
Pb1 Pb 0.000 0.000 0.500 1
```

[6]
Compound: BeRhPb3
Source: Alexandria via LeMat-Bulk
Functional: PBE
Structure: relaxed

## Properties
The calculation puts the relative energy among the computed polymorphs at 0.000 eV/atom.

```
data_BeRhPb3
_chemical_formula_sum 'Be1 Rh1 Pb3'
_symmetry_space_group_name_H-M 'P m -3 m'
_symmetry_Int_Tables_number 221
_symmetry_space_group_name_Hall '-P 4 2 3'
_cell_length_a 5.284
_cell_length_b 5.284
_cell_length_c 5.284
_cell_angle_alpha 90.00
_cell_angle_beta 90.00
_cell_angle_gamma 90.00
loop_
_atom_site_label
_atom_site_type_symbol
_atom_site_fract_x
_atom_site_fract_y
_atom_site_fract_z
_atom_site_occupancy
Be1 Be 0.000 0.000 0.000 1
Rh1 Rh 0.500 0.500 0.500 1
Pb1 Pb 0.000 0.500 0.500 1
```

[7]
Compound: BeRh3Pb
Source: Alexandria via LeMat-Bulk
Functional: PBE
Structure: relaxed

## Properties
The calculation puts the relative energy among the computed polymorphs at 0.000 eV/atom.

```
data_BeRh3Pb
_chemical_formula_sum 'Be1 Rh3 Pb1'
_symmetry_space_group_name_H-M 'P m -3 m'
_symmetry_Int_Tables_number 221
_symmetry_space_group_name_Hall '-P 4 2 3'
_cell_length_a 4.243
_cell_length_b 4.243
_cell_length_c 4.243
_cell_angle_alpha 90.00
_cell_angle_beta 90.00
_cell_angle_gamma 90.00
loop_
_atom_site_label
_atom_site_type_symbol
_atom_site_fract_x
_atom_site_fract_y
_atom_site_fract_z
_atom_site_occupancy
Be1 Be 0.000 0.000 0.000 1
Rh1 Rh 0.000 0.000 0.500 1
Pb1 Pb 0.500 0.500 0.500 1
```

[8]
Compound: BeRhPb4
Source: Alexandria via LeMat-Bulk
Functional: PBE
Structure: relaxed

## Properties
The raw total energy is -80.2 eV for the cell shown.

```
data_BeRhPb4
_chemical_formula_sum 'Be4 Rh4 Pb16'
_symmetry_space_group_name_H-M 'F -4 3 m'
_symmetry_Int_Tables_number 216
_symmetry_space_group_name_Hall 'F -4 2 3'
_cell_length_a 8.801
_cell_length_b 8.801
_cell_length_c 8.801
_cell_angle_alpha 90.00
_cell_angle_beta 90.00
_cell_angle_gamma 90.00
loop_
_atom_site_label
_atom_site_type_symbol
_atom_site_fract_x
_atom_site_fract_y
_atom_site_fract_z
_atom_site_occupancy
Be1 Be 0.000 0.000 0.000 1
Rh1 Rh 0.250 0.250 0.250 1
Pb1 Pb 0.124 0.124 0.624 1
```